A plane-wave DFT calculation with PBEsol was carried out for a geometry-optimized Ca2Tl structure.

Cell lengths 10.2533, 10.2533, 10.2533 Å; angles 60.00, 60.00, 60.00 degrees
With the nearest neighbours (Å) after each atom.
Positions (direct):
Ca (0.1250, 0.1250, 0.6250)  6 Tl 3.23
Ca (0.1250, 0.6250, 0.1250)  6 Tl 3.23
Ca (0.6250, 0.1250, 0.1250)  6 Tl 3.23
Ca (0.1250, 0.1250, 0.1250)  6 Tl 3.23
Ca (0.9467, 0.5533, 0.5533)  4 Tl 3.26-3.60, 2 Ca 3.64
Ca (0.5533, 0.9467, 0.5533)  4 Tl 3.26-3.60, 2 Ca 3.64
Ca (0.5533, 0.5533, 0.9467)  4 Tl 3.26-3.60, 2 Ca 3.64
Ca (0.9467, 0.9467, 0.5533)  4 Tl 3.26-3.60, 2 Ca 3.64
Ca (0.9467, 0.5533, 0.9467)  4 Tl 3.26-3.60, 2 Ca 3.64
Ca (0.5533, 0.9467, 0.9467)  4 Tl 3.26-3.60, 2 Ca 3.64
Ca (0.3033, 0.6967, 0.6967)  4 Tl 3.26-3.60, 2 Ca 3.64
Ca (0.6967, 0.3033, 0.6967)  4 Tl 3.26-3.60, 2 Ca 3.64
Ca (0.6967, 0.6967, 0.3033)  4 Tl 3.26-3.60, 2 Ca 3.64
Ca (0.3033, 0.3033, 0.6967)  4 Tl 3.26-3.60, 2 Ca 3.64
Ca (0.3033, 0.6967, 0.3033)  4 Tl 3.26-3.60, 2 Ca 3.64
Ca (0.6967, 0.3033, 0.3033)  4 Tl 3.26-3.60, 2 Ca 3.64
Tl (0.3434, 0.3434, 0.3434)  9 Ca 3.23-3.60
Tl (0.9699, 0.3434, 0.3434)  9 Ca 3.23-3.60
Tl (0.3434, 0.9699, 0.3434)  9 Ca 3.23-3.60
Tl (0.3434, 0.3434, 0.9699)  9 Ca 3.23-3.60
Tl (0.9066, 0.9066, 0.9066)  9 Ca 3.23-3.60
Tl (0.2801, 0.9066, 0.9066)  9 Ca 3.23-3.60
Tl (0.9066, 0.2801, 0.9066)  9 Ca 3.23-3.60
Tl (0.9066, 0.9066, 0.2801)  9 Ca 3.23-3.60

Output
calculated volume	762.2	Å³ per cell
formation energy	-0.34	eV/atom
space group	Fd-3m (227)
magnetic moment	0.000	μB per atom